This record from Alexandria via LeMat-Bulk describes a relaxed structure of BaMnI2O. The functional is GGA+U.

Calculated values
**E above lowest polymorph**: 703 meV per atom
**Spin magnetization**: 5.678 μB per formula unit
**Crystal system**: tetragonal
**E**: -20.1 eV per cell

abc: 6.771 6.771 4.530
angles: 90.00 90.00 90.00
Fractional positions:
Ba 0.000 0.000 0.000
Mn 0.500 0.500 0.500
I 0.000 0.500 0.000
I 0.500 0.000 0.000
O 0.000 0.000 0.500